VASP calculation (PBE-GGA) on a geometry-optimized Ta2ReSe structure.

Results
Density of states at the Fermi level, states/eV/atom: 0.6065
Raw formation energy, eV per formula unit: 0.8

Lattice parameters (Å, degrees): 2.9133 2.9133 9.2372 90.00 90.00 112.20
With the nearest neighbours (Å) after each atom.
Fractional coordinates of all 4 atoms:
Ta 0.0000 0.0000 0.0000  2 Se 2.61, 6 Ta 2.87-2.91
Ta 0.5000 0.5000 0.2564  2 Re 2.59, 2 Ta 2.87
Re 0.0000 0.0000 0.4753  2 Ta 2.59
Se 0.5000 0.5000 0.7793  2 Ta 2.61, 4 Se 2.91